(1)
The following is a PBE calculation of a relaxed AlInPd4 crystal, from the Alexandria database.

a = 3.103 Å, b = 7.254 Å, c = 17.155 Å
α = 90.00°, β = 90.00°, γ = 90.00°
Sites, in units of the cell vectors:
Al1 0.750 0.250 0.449
Al2 0.250 0.750 0.551
Al3 0.250 0.250 0.949
Al4 0.750 0.750 0.051
In1 0.750 0.723 0.813
In2 0.250 0.277 0.187
In3 0.250 0.777 0.313
In4 0.750 0.223 0.687
Pd1 0.750 0.855 0.658
Pd2 0.250 0.145 0.342
Pd3 0.250 0.645 0.158
Pd4 0.750 0.355 0.842
Pd5 0.750 0.887 0.445
Pd6 0.250 0.113 0.555
Pd7 0.250 0.613 0.945
Pd8 0.750 0.387 0.055
Pd9 0.750 0.975 0.932
Pd10 0.250 0.025 0.068
Pd11 0.250 0.525 0.432
Pd12 0.750 0.475 0.568
Pd13 0.750 0.960 0.204
Pd14 0.250 0.040 0.796
Pd15 0.250 0.540 0.704
Pd16 0.750 0.460 0.296

Energy above the lowest structure with this stoichiometry (meV/atom): 0
Size of the total moment (μB per formula unit): 0.00

***

(2)
The following is a PBE calculation of a relaxed AlIn3Pd12 crystal, from the Alexandria database.

a = 4.020 Å, b = 4.020 Å, c = 15.924 Å
α = 90.00°, β = 90.00°, γ = 90.00°
Sites, in units of the cell vectors:
Al1 0.000 0.000 0.000
In1 0.000 0.000 0.245
In2 0.000 0.000 0.500
In3 0.000 0.000 0.755
Pd1 0.500 0.500 0.000
Pd2 0.500 0.500 0.244
Pd3 0.500 0.500 0.500
Pd4 0.500 0.500 0.756
Pd5 0.500 0.000 0.116
Pd6 0.500 0.000 0.372
Pd7 0.500 0.000 0.628
Pd8 0.500 0.000 0.884
Pd9 0.000 0.500 0.116
Pd10 0.000 0.500 0.372
Pd11 0.000 0.500 0.628
Pd12 0.000 0.500 0.884

Size of the total moment (μB per formula unit): 0.00

***

(3)
The following is a PBE calculation of a relaxed AlIn2Pd crystal, from the Alexandria database.

a = 8.999 Å, b = 8.999 Å, c = 6.814 Å
α = 48.68°, β = 48.68°, γ = 90.00°
Sites, in units of the cell vectors:
Al1 0.500 0.500 0.000
Al2 0.250 0.750 0.500
Pd1 0.000 0.000 0.000
Pd2 0.750 0.250 0.500
In1 0.723 0.125 0.250
In2 0.027 0.625 0.250
In3 0.375 0.277 0.750
In4 0.875 0.973 0.750

Size of the total moment (μB per formula unit): 0.00

***

(4)
The following is a PBE calculation of a relaxed AlIn6Pd12 crystal, from the Alexandria database.

a = 7.375 Å, b = 7.375 Å, c = 7.375 Å
α = 106.14°, β = 106.14°, γ = 106.14°
Sites, in units of the cell vectors:
Al1 0.000 0.000 0.000
In1 0.787 0.907 0.523
In2 0.477 0.213 0.093
In3 0.093 0.477 0.213
In4 0.213 0.093 0.477
In5 0.523 0.787 0.907
In6 0.907 0.523 0.787
Pd1 0.817 0.522 0.399
Pd2 0.399 0.817 0.522
Pd3 0.522 0.399 0.817
Pd4 0.183 0.478 0.601
Pd5 0.601 0.183 0.478
Pd6 0.478 0.601 0.183
Pd7 0.870 0.738 0.148
Pd8 0.262 0.852 0.130
Pd9 0.852 0.130 0.262
Pd10 0.130 0.262 0.852
Pd11 0.738 0.148 0.870
Pd12 0.148 0.870 0.738

Size of the total moment (μB per formula unit): 0.00

***

(5)
The following is a PBE calculation of a relaxed AlIn3Pd crystal, from the Alexandria database.

a = 5.169 Å, b = 5.169 Å, c = 5.169 Å
α = 90.00°, β = 90.00°, γ = 90.00°
Sites, in units of the cell vectors:
Al1 0.500 0.500 0.500
Pd1 0.000 0.000 0.000
In1 0.000 0.500 0.000
In2 0.000 0.000 0.500
In3 0.500 0.000 0.000

Energy above the lowest structure with this stoichiometry (meV/atom): 0
Size of the total moment (μB per formula unit): 0.00

***

(6)
The following is a PBE calculation of a relaxed Al2InPd8 crystal, from the Alexandria database.

a = 4.117 Å, b = 6.967 Å, c = 7.307 Å
α = 118.47°, β = 106.36°, γ = 90.00°
Sites, in units of the cell vectors:
Al1 0.191 0.691 0.382
Al2 0.809 0.309 0.618
In1 0.500 0.000 0.000
Pd1 0.663 0.880 0.325
Pd2 0.337 0.555 0.675
Pd3 0.151 0.151 0.302
Pd4 0.000 0.307 0.000
Pd5 0.849 0.849 0.698
Pd6 0.663 0.445 0.325
Pd7 0.337 0.120 0.675
Pd8 0.000 0.693 0.000

Energy above the lowest structure with this stoichiometry (meV/atom): 19
Size of the total moment (μB per formula unit): 0.00

***

(7)
The following is a PBE calculation of a relaxed AlIn2Pd crystal, from the Alexandria database.

a = 3.077 Å, b = 3.077 Å, c = 10.637 Å
α = 81.68°, β = 81.68°, γ = 60.00°
Sites, in units of the cell vectors:
Al1 0.500 0.500 0.500
Pd1 0.000 0.000 0.000
In1 0.084 0.084 0.747
In2 0.916 0.916 0.253

Size of the total moment (μB per formula unit): 0.00

***

(8)
The following is a PBE calculation of a relaxed AlIn3Pd6 crystal, from the Alexandria database.

a = 4.599 Å, b = 7.812 Å, c = 9.869 Å
α = 108.93°, β = 90.00°, γ = 90.00°
Sites, in units of the cell vectors:
Al1 0.250 0.955 0.594
Al2 0.750 0.045 0.406
In1 0.250 0.523 0.382
In2 0.750 0.477 0.618
In3 0.250 0.371 0.788
In4 0.750 0.629 0.212
In5 0.250 0.787 0.986
In6 0.750 0.213 0.014
Pd1 0.250 0.458 0.080
Pd2 0.750 0.542 0.920
Pd3 0.250 0.147 0.181
Pd4 0.750 0.853 0.819
Pd5 0.250 0.679 0.676
Pd6 0.750 0.321 0.324
Pd7 0.250 0.227 0.493
Pd8 0.750 0.773 0.507
Pd9 0.250 0.852 0.316
Pd10 0.750 0.148 0.684
Pd11 0.250 0.071 0.865
Pd12 0.750 0.929 0.135

Size of the total moment (μB per formula unit): 0.00

***

(9)
The following is a PBE calculation of a relaxed Al2InPd2 crystal, from the Alexandria database.

a = 3.790 Å, b = 3.790 Å, c = 6.768 Å
α = 73.74°, β = 73.74°, γ = 90.00°
Sites, in units of the cell vectors:
Al1 0.750 0.250 0.500
Al2 0.250 0.750 0.500
Pd1 0.386 0.386 0.229
Pd2 0.614 0.614 0.771
In1 0.000 0.000 0.000

Size of the total moment (μB per formula unit): 0.00

***

(10)
The following is a PBE calculation of a relaxed Al2InPd2 crystal, from the Alexandria database.

a = 4.106 Å, b = 4.106 Å, c = 6.249 Å
α = 70.82°, β = 70.82°, γ = 90.00°
Sites, in units of the cell vectors:
Al1 0.382 0.382 0.237
Al2 0.618 0.618 0.763
Pd1 0.750 0.250 0.500
Pd2 0.250 0.750 0.500
In1 0.000 0.000 0.000

Size of the total moment (μB per formula unit): 0.00

***

(11)
The following is a PBE calculation of a relaxed Al2InPd crystal, from the Alexandria database.

a = 7.852 Å, b = 7.852 Å, c = 6.151 Å
α = 50.34°, β = 50.34°, γ = 90.00°
Sites, in units of the cell vectors:
Al1 0.563 0.125 0.250
Al2 0.187 0.625 0.250
Al3 0.375 0.437 0.750
Al4 0.875 0.813 0.750
Pd1 0.500 0.500 0.000
Pd2 0.250 0.750 0.500
In1 0.000 0.000 0.000
In2 0.750 0.250 0.500

Size of the total moment (μB per formula unit): 0.00

***

(12)
The following is a PBE calculation of a relaxed AlIn3Pd4 crystal, from the Alexandria database.

a = 3.183 Å, b = 3.183 Å, c = 13.509 Å
α = 90.00°, β = 90.00°, γ = 90.00°
Sites, in units of the cell vectors:
Al1 0.500 0.500 0.000
Pd1 0.000 0.000 0.894
Pd2 0.000 0.000 0.106
Pd3 0.000 0.000 0.371
Pd4 0.000 0.000 0.629
In1 0.500 0.500 0.241
In2 0.500 0.500 0.500
In3 0.500 0.500 0.759

Size of the total moment (μB per formula unit): 0.00

***

| no. | energy relative to the elements (meV/atom) |
| --- | --- |
| 1 | -617 |
| 2 | -472 |
| 3 | -85 |
| 4 | -452 |
| 5 | 123 |
| 6 | -577 |
| 7 | 164 |
| 8 | -563 |
| 9 | -519 |
| 10 | -368 |
| 11 | -90 |
| 12 | -579 |